# 1
This record from Alexandria describes an optimized crystal structure of AcEu2Pb. The functional is PBE-GGA.

The structure belongs to space group P4/mmm (No. 123); the cell edges are 3.867, 3.867 and 10.142 Å and the angles 90.00°, 90.00° and 90.00°. Symmetry generates all atoms from Ac at (0.000, 0.000, 0.000), Eu at (0.500, 0.500, 0.293) and Pb at (0.000, 0.000, 0.500).

The relative energy among the computed polymorphs comes out at 54 meV per atom. The calculation puts the raw total energy at -7.34 eV/atom.

# 2
This record from Alexandria describes an optimized crystal structure of Ho5In2Ir2Rh. The functional is PBE-GGA.

The structure belongs to space group P4/mbm (No. 127); the cell edges are 11.577, 11.577 and 3.557 Å and the angles 90.00°, 90.00° and 90.00°. Symmetry generates all atoms from Ho at (0.000, 0.500, 0.000), Ho at (0.067, 0.195, 0.000), In at (0.177, 0.677, 0.500), Ir at (0.136, 0.364, 0.500) and Rh at (0.000, 0.000, 0.500).

The calculation puts the raw total energy at -6.01 eV/atom.

# 3
This record from Alexandria describes an optimized crystal structure of Tb4HgPt. The functional is PBE-GGA.

The structure belongs to space group F-43m (No. 216); the cell edges are 13.700, 13.700 and 13.700 Å and the angles 90.00°, 90.00° and 90.00°. Symmetry generates all atoms from Tb at (0.000, 0.000, 0.186), Tb at (0.060, 0.250, 0.750), Tb at (0.104, 0.104, 0.396), Hg at (0.164, 0.164, 0.164) and Pt at (0.106, 0.106, 0.606).

The relative energy among the computed polymorphs comes out at 0 meV per atom. The calculation puts the raw total energy at -4.80 eV/atom.

# 4
This record from Alexandria describes an optimized crystal structure of TeWS2. The functional is PBE-GGA.

The structure belongs to space group R-3m (No. 166, hexagonal axes); the cell edges are 3.1992, 3.1992 and 33.8185 Å and the angles 90.00°, 90.00° and 120.00°. Symmetry generates all atoms from Te at (0.0000, 0.0000, 0.0000), W at (0.0000, 0.0000, 0.5000) and S at (0.0000, 0.0000, 0.1198).

The calculation puts the raw total energy at -6.37 eV/atom. The calculation puts the uncorrected formation energy at -28 kJ/mol of atoms.

# 5
This record from Alexandria describes an optimized crystal structure of Tl2CrCu. The functional is PBE-GGA.

The structure belongs to space group P4/mmm (No. 123); the cell edges are 4.741, 4.741 and 3.533 Å and the angles 90.00°, 90.00° and 90.00°. Symmetry generates all atoms from Tl at (0.000, 0.500, 0.000), Cr at (0.000, 0.000, 0.500) and Cu at (0.500, 0.500, 0.500).

The relative energy among the computed polymorphs comes out at 83 meV per atom. The calculation puts the raw total energy at -4.10 eV/atom.

# 6
This record from Alexandria describes an optimized crystal structure of LaScPb. The functional is PBE-GGA.

The structure belongs to space group P4/nmm (No. 129, origin choice 2); the cell edges are 4.627, 4.627 and 8.490 Å and the angles 90.00°, 90.00° and 90.00°. Symmetry generates all atoms from La at (0.250, 0.250, 0.151), Sc at (0.250, 0.750, 0.500) and Pb at (0.250, 0.250, 0.743).

The relative energy among the computed polymorphs comes out at 0 meV per atom. The calculation puts the raw total energy at -5.47 eV/atom.

# 7
This record from Alexandria describes an optimized crystal structure of CaSbRh. The functional is PBE-GGA.

The structure belongs to space group P-6m2 (No. 187); the cell edges are 4.4838, 4.4838 and 4.1074 Å and the angles 90.00°, 90.00° and 120.00°. Symmetry generates all atoms from Ca at (0.0000, 0.0000, 0.0000), Sb at (0.3333, 0.6667, 0.5000) and Rh at (0.6667, 0.3333, 0.5000).

The calculation puts the raw total energy at -5.19 eV/atom. The calculation puts the uncorrected formation energy at -67 kJ/mol of atoms.

# 8
This record from Alexandria describes an optimized crystal structure of Rb2TmInTe4. The functional is PBE-GGA.

The structure belongs to space group I-42m (No. 121); the cell edges are 9.083, 9.083 and 7.533 Å and the angles 90.00°, 90.00° and 90.00°. Symmetry generates all atoms from Rb at (0.000, 0.500, 0.000), Tm at (0.000, 0.000, 0.000), In at (0.000, 0.000, 0.500) and Te at (0.172, 0.172, 0.259).

The calculation puts the raw total energy at -3.67 eV/atom. The calculation puts the uncorrected formation energy at -92 kJ/mol of atoms.

Question: What is the formula in the seventh record?
Answer: CaSbRh

Question: Which formula does entry 4 have?
Answer: TeWS2

Repeat the eighth record exactly.
This record from Alexandria describes an optimized crystal structure of Rb2TmInTe4. The functional is PBE-GGA.

The structure belongs to space group I-42m (No. 121); the cell edges are 9.083, 9.083 and 7.533 Å and the angles 90.00°, 90.00° and 90.00°. Symmetry generates all atoms from Rb at (0.000, 0.500, 0.000), Tm at (0.000, 0.000, 0.000), In at (0.000, 0.000, 0.500) and Te at (0.172, 0.172, 0.259).

The calculation puts the raw total energy at -3.67 eV/atom. The calculation puts the uncorrected formation energy at -92 kJ/mol of atoms.

Question: What is the formula in the sixth record?
Answer: LaScPb